Entry from the Alexandria database: crystalline TlAs2Cl at its relaxed geometry (PBE).

mass density: 7.1 g/cm3
ΔE_f (raw): 0.428 eV/atom
E above lowest polymorph: 793.0 meV/atom
total moment: 0.00 μB/f.u.
symmetry: P4/mmm, No. 123

Cell lengths 5.285, 5.285, 3.254 Å; angles 90.00, 90.00, 90.00 degrees
Fractional coordinates of all 4 atoms:
Tl 0.000 0.500 0.500
As 0.500 0.500 0.000
As 0.000 0.000 0.000
Cl 0.500 0.000 0.500

***

Entry from the Alexandria database: crystalline MgReTcRu at its relaxed geometry (PBE).

VASP energy: -33.47 eV for the cell shown
mass density: 11.5 g/cm3
total moment: 0.00 μB/f.u.
symmetry: F-43m, No. 216

Cell lengths 4.369, 4.369, 4.369 Å; angles 60.00, 60.00, 60.00 degrees
Fractional coordinates of all 4 atoms:
Mg 0.000 0.000 0.000
Re 0.500 0.500 0.500
Ru 0.750 0.750 0.750
Tc 0.250 0.250 0.250